Material: CeAlIn
Method: DFT, GGA-PBE
State: optimized geometry

POSCAR file:
```
CeAlIn
1.0
4.841 0.000 0.000
-2.421 4.193 0.000
0.000 0.000 3.580
Ce Al In
1 1 1
Direct
0.000 0.000 0.000
0.333 0.667 0.500
0.667 0.333 0.500
```

Values from the calculation:
SG: No. 187
Energy of formation from the pure elements in kJ/mol of atoms: -34.6

=====

Material: Ce2Al2In
Method: DFT, GGA-PBE
State: optimized geometry

POSCAR file:
```
Ce2Al2In
1.0
2.333 -7.466 0.000
2.333 7.466 0.000
0.000 0.000 3.434
Ce Al In
2 2 1
Direct
0.119 0.881 0.000
0.881 0.119 0.000
0.296 0.704 0.500
0.704 0.296 0.500
0.500 0.500 0.500
```

Values from the calculation:
SG: No. 65
Energy of formation from the pure elements in kJ/mol of atoms: -36.7

=====

Material: Ce8Al2In
Method: DFT, GGA-PBE
State: optimized geometry

POSCAR file:
```
Ce8Al2In
1.0
4.201 -6.932 0.000
4.201 6.932 0.000
-1.971 0.000 5.260
Ce Al In
8 2 1
Direct
0.072 0.284 0.582
0.235 0.765 0.000
0.284 0.072 0.582
0.413 0.413 0.170
0.587 0.587 0.830
0.716 0.928 0.418
0.765 0.235 0.000
0.928 0.716 0.418
0.311 0.689 0.500
0.689 0.311 0.500
0.000 0.000 0.000
```

Values from the calculation:
SG: No. 12
Energy of formation from the pure elements in kJ/mol of atoms: -6.4

=====

Material: CeAlIn
Method: DFT, GGA-PBE
State: optimized geometry

POSCAR file:
```
CeAlIn
1.0
-1.726 1.726 6.134
1.726 -1.726 6.134
1.726 1.726 -6.134
Ce Al In
1 1 1
Direct
0.000 0.000 0.000
0.670 0.670 0.000
0.306 0.306 0.000
```

Values from the calculation:
SG: No. 107
Energy of formation from the pure elements in kJ/mol of atoms: -17.3

=====

Material: Ce3AlIn
Method: DFT, GGA-PBE
State: optimized geometry

POSCAR file:
```
Ce3AlIn
1.0
5.946 0.000 0.000
0.000 5.314 0.000
-2.031 0.000 8.133
Ce Al In
6 2 2
Direct
0.122 0.250 0.068
0.160 0.750 0.722
0.280 0.250 0.488
0.720 0.750 0.512
0.840 0.250 0.278
0.878 0.750 0.932
0.134 0.750 0.316
0.866 0.250 0.684
0.462 0.750 0.122
0.538 0.250 0.878
```

Values from the calculation:
SG: No. 11
Energy of formation from the pure elements in kJ/mol of atoms: -22.2

=====

Material: Ce6AlIn2
Method: DFT, GGA-PBE
State: optimized geometry

POSCAR file:
```
Ce6AlIn2
1.0
-1.540 4.481 8.115
1.540 -4.481 8.115
1.540 4.481 -8.115
Ce Al In
6 1 2
Direct
0.005 0.845 0.160
0.315 0.155 0.160
0.319 0.000 0.319
0.681 0.000 0.681
0.685 0.845 0.840
0.995 0.155 0.840
0.000 0.500 0.500
0.340 0.340 0.000
0.660 0.660 0.000
```

Values from the calculation:
SG: No. 71
Energy of formation from the pure elements in kJ/mol of atoms: -15.8

=====

Material: Ce4AlIn5
Method: DFT, GGA-PBE
State: optimized geometry

POSCAR file:
```
Ce4AlIn5
1.0
5.758 0.000 0.000
2.178 6.334 0.000
1.702 1.396 7.031
Ce Al In
4 1 5
Direct
0.088 0.426 0.323
0.272 0.226 0.873
0.728 0.774 0.127
0.912 0.574 0.677
0.500 0.500 0.500
0.119 0.914 0.300
0.312 0.701 0.890
0.500 0.000 0.500
0.688 0.299 0.110
0.881 0.086 0.700
```

Values from the calculation:
SG: No. 2
Energy of formation from the pure elements in kJ/mol of atoms: -29.9

=====

Material: Ce2AlIn
Method: DFT, GGA-PBE
State: optimized geometry

POSCAR file:
```
Ce2AlIn
1.0
-3.148 4.597 3.468
3.148 -4.597 3.468
3.148 4.597 -3.468
Ce Al In
4 2 2
Direct
0.271 0.000 0.771
0.271 0.500 0.271
0.729 0.000 0.229
0.729 0.500 0.729
0.219 0.469 0.750
0.781 0.531 0.250
0.210 0.960 0.250
0.790 0.040 0.750
```

Values from the calculation:
SG: No. 74
Energy of formation from the pure elements in kJ/mol of atoms: -31.0

=====

Material: CeAlIn2
Method: DFT, GGA-PBE
State: optimized geometry

POSCAR file:
```
CeAlIn2
1.0
4.551 0.000 0.000
0.000 4.551 0.000
0.000 0.000 4.673
Ce Al In
1 1 2
Direct
0.000 0.000 0.000
0.500 0.500 0.000
0.000 0.500 0.500
0.500 0.000 0.500
```

Values from the calculation:
SG: No. 123
Energy of formation from the pure elements in kJ/mol of atoms: -33.8

=====

Material: CeAl4In
Method: DFT, GGA-PBE
State: optimized geometry

POSCAR file:
```
CeAl4In
1.0
0.000 3.966 3.966
3.966 0.000 3.966
3.966 3.966 0.000
Ce Al In
1 4 1
Direct
0.000 0.000 0.000
0.375 0.375 0.375
0.375 0.375 0.875
0.375 0.875 0.375
0.875 0.375 0.375
0.750 0.750 0.750
```

Values from the calculation:
SG: No. 216
Energy of formation from the pure elements in kJ/mol of atoms: -13.7

=====

Material: Ce15AlIn4
Method: DFT, GGA-PBE
State: optimized geometry

POSCAR file:
```
Ce15AlIn4
1.0
4.786 0.000 0.000
0.000 4.786 0.000
0.000 0.000 23.881
Ce Al In
15 1 4
Direct
0.000 0.000 0.000
0.000 0.000 0.196
0.000 0.000 0.399
0.000 0.000 0.601
0.000 0.000 0.804
0.000 0.500 0.095
0.000 0.500 0.298
0.000 0.500 0.500
0.000 0.500 0.702
0.000 0.500 0.905
0.500 0.000 0.095
0.500 0.000 0.298
0.500 0.000 0.500
0.500 0.000 0.702
0.500 0.000 0.905
0.500 0.500 0.000
0.500 0.500 0.197
0.500 0.500 0.399
0.500 0.500 0.601
0.500 0.500 0.803
```

Values from the calculation:
SG: No. 123
Energy of formation from the pure elements in kJ/mol of atoms: -17.9

=====

Material: Ce7AlIn3
Method: DFT, GGA-PBE
State: optimized geometry

POSCAR file:
```
Ce7AlIn3
1.0
5.595 -5.485 0.000
5.595 5.485 0.000
-2.426 0.000 5.117
Ce Al In
7 1 3
Direct
0.000 0.000 0.000
0.065 0.574 0.350
0.294 0.294 0.804
0.426 0.935 0.650
0.574 0.065 0.350
0.706 0.706 0.196
0.935 0.426 0.650
0.000 0.000 0.500
0.280 0.720 0.000
0.500 0.500 0.500
0.720 0.280 0.000
```

Values from the calculation:
SG: No. 12
Energy of formation from the pure elements in kJ/mol of atoms: -9.4

=====

Number 1: energy -4.50 eV per atom. Number 2: energy -4.80 eV per atom. Number 3: energy -5.31 eV per atom. Number 4: energy -4.32 eV per atom. Number 5: energy -5.09 eV per atom. Number 6: energy -5.14 eV per atom. Number 7: energy -4.43 eV per atom. Number 8: energy -4.91 eV per atom. Number 9: energy -4.14 eV per atom. Number 10: energy -4.08 eV per atom. Number 11: energy -5.37 eV per atom. Number 12: energy -4.96 eV per atom.